[1]
DFT (PBE-GGA) results for ZrTlIn after structural relaxation.

Cell and atoms, written as extended XYZ:
```
3
Lattice="4.8555 0.0000 0.0000 2.4278 4.2050 0.0000 2.4278 1.4017 3.9645" Properties=species:S:1:pos:R:3 pbc="T T T"
Zr 0.0000 0.0000 0.0000
In 4.8555 2.8033 1.9823
Tl 2.4278 1.4017 0.9911
```

**Total magnetization**: 0.0 μB per cell
**Symmetry**: F-43m (216)
**Calculated formation energy**: 10.12 kcal/mol of atoms

[2]
DFT (PBE-GGA) results for Li2ZnPt after structural relaxation.

Cell and atoms, written as extended XYZ:
```
4
Lattice="-0.0161 -1.0272 -2.5762 0.2866 -3.6079 1.4367 -5.3627 -0.3561 0.1755" Properties=species:S:1:pos:R:3 pbc="T T T"
Pt -2.6987 -0.1792 0.0883
Li -5.3582 -0.3558 0.1753
Li -1.2865 -2.4120 -0.5233
Zn -3.7931 -2.5784 -0.4412
```

**Total magnetization**: 0.0 μB per cell
**Symmetry**: Pmm2 (25)
**Calculated formation energy**: -10.57 kcal/mol of atoms

[3]
DFT (PBE-GGA) results for PmErThMg after structural relaxation.

Cell and atoms, written as extended XYZ:
```
4
Lattice="5.5515 0.0000 0.0000 2.7758 4.8078 0.0000 2.7758 1.6026 4.5328" Properties=species:S:1:pos:R:3 pbc="T T T"
Er 5.5515 3.2052 2.2664
Mg 2.7758 1.6026 1.1332
Pm 0.0000 0.0000 0.0000
Th 8.3273 4.8078 3.3996
```

**Total magnetization**: 0.0 μB per cell
**Symmetry**: F-43m (216)
**Calculated formation energy**: 3.80 kcal/mol of atoms

[4]
DFT (PBE-GGA) results for Sc3Ta after structural relaxation.

Cell and atoms, written as extended XYZ:
```
8
Lattice="-1.0845 5.7283 -2.4274 -4.3285 -1.6310 -1.9150 -2.6190 1.4789 4.6602" Properties=species:S:1:pos:R:3 pbc="T T T"
Sc -0.7057 1.6748 0.1687
Sc -1.2490 4.5450 -1.0476
Sc -4.6198 1.8528 2.3203
Sc -5.1609 4.7110 1.1092
Sc -3.0843 -0.2959 0.6796
Sc -2.2412 3.8235 1.8094
Ta -1.7596 0.9937 3.1311
Ta -3.5658 2.5340 -0.6421
```

**Total magnetization**: 0.0 μB per cell
**Symmetry**: Pmmn (59)
**Calculated formation energy**: 2.57 kcal/mol of atoms

[5]
DFT (PBE-GGA) results for Ce2SmNi2Ge2 after structural relaxation.

Cell and atoms, written as extended XYZ:
```
7
Lattice="-1.1449 -2.9572 2.7947 -1.5192 -3.7068 -1.3483 7.4311 -5.5784 0.3379" Properties=species:S:1:pos:R:3 pbc="T T T"
Ge 3.8768 -9.3035 1.3330
Ge 0.8902 -2.9389 0.4513
Ni 4.5823 -7.0085 0.8540
Ni 0.1846 -5.2339 0.9303
Ce 3.9953 -4.1919 0.3975
Ce 0.7717 -8.0505 1.3869
Sm 0.0000 0.0000 0.0000
```

**Total magnetization**: 0.8 μB per cell
**Symmetry**: R-3m (166)
**Calculated formation energy**: -14.76 kcal/mol of atoms

[6]
DFT (PBE-GGA) results for RbCaTl4 after structural relaxation.

Cell and atoms, written as extended XYZ:
```
6
Lattice="4.0184 -0.3039 0.0203 0.3039 4.0194 0.0222 -0.0685 -0.0650 12.5138" Properties=species:S:1:pos:R:3 pbc="T T T"
Tl 2.2687 3.8250 8.1762
Tl 1.9851 -0.1745 4.3800
Tl 4.1556 1.6922 2.6705
Tl 0.0982 1.9582 9.8857
Rb 2.0092 -0.1520 0.0101
Ca 0.1177 1.9772 6.2680
```

**Total magnetization**: 0.0 μB per cell
**Symmetry**: P4/mmm (123)
**Calculated formation energy**: -4.34 kcal/mol of atoms

[7]
DFT (PBE-GGA) results for LaAlNi2H after structural relaxation.

Cell and atoms, written as extended XYZ:
```
10
Lattice="3.9505 0.0000 0.0000 -1.9753 5.3915 0.0000 0.0000 0.0000 6.8622" Properties=species:S:1:pos:R:3 pbc="T T T"
H 0.0000 0.0000 3.4311
H 0.0000 0.0000 0.0000
Al 1.9753 2.2917 5.1466
Al 0.0000 3.0998 1.7155
Ni 0.0000 1.7403 6.4676
Ni 0.0000 1.7403 3.8257
Ni 1.9753 3.6512 0.3946
Ni 1.9753 3.6512 3.0365
La 1.9753 0.7615 1.7155
La 0.0000 4.6300 5.1466
```

**Total energy**: -5.211 eV/atom
**Total magnetization**: 0.0 μB per cell
**Symmetry**: Cmcm (63)

[8]
DFT (PBE-GGA) results for Fe2NiSe after structural relaxation.

Cell and atoms, written as extended XYZ:
```
4
Lattice="3.0203 0.0000 0.0000 0.0000 3.0372 0.0689 0.0000 1.3910 5.9855" Properties=species:S:1:pos:R:3 pbc="T T T"
Ni 0.0000 2.7884 2.7722
Se 1.5102 2.7480 4.7394
Fe 0.0000 2.8460 0.1288
Fe 1.5102 1.2972 1.5101
```

**Energy relative to the elements, uncorrected**: 131 meV per atom
**Total magnetization**: 5.7 μB per cell
**Symmetry**: Pm (6)

[9]
DFT (PBE-GGA) results for Cd2BPRh after structural relaxation.

Cell and atoms, written as extended XYZ:
```
5
Lattice="-3.8289 3.3840 0.9282 -2.2378 -2.8830 1.2795 1.8115 0.7297 4.8125" Properties=species:S:1:pos:R:3 pbc="T T T"
B -1.1189 -1.4415 0.6398
P -2.1276 0.6153 3.5101
Rh 0.0000 0.0000 0.0000
Cd 0.9058 0.3648 2.4062
Cd -1.9145 1.6920 0.4641
```

**Total magnetization**: 0.0 μB per cell
**Symmetry**: P4/mmm (123)
**Calculated formation energy**: 16.49 kcal/mol of atoms

[10]
DFT (PBE-GGA) results for InIrCl4 after structural relaxation.

Cell and atoms, written as extended XYZ:
```
6
Lattice="0.0000 4.1758 4.1758 4.1758 0.0000 4.1758 4.1758 4.1758 0.0000" Properties=species:S:1:pos:R:3 pbc="T T T"
Cl 3.1199 5.2316 5.2316
Cl 5.2316 5.2316 3.1199
Cl 3.1199 3.1199 3.1199
Cl 5.2316 3.1199 5.2316
In 6.2636 6.2636 6.2636
Ir 0.0000 0.0000 0.0000
```

**Energy relative to the elements, uncorrected**: 1038 meV per atom
**Total magnetization**: 4.1 μB per cell
**Symmetry**: F-43m (216)

[11]
DFT (PBE-GGA) results for ScBeGa3 after structural relaxation.

Cell and atoms, written as extended XYZ:
```
5
Lattice="5.2126 0.0000 0.0000 0.0000 5.2126 0.0000 0.0000 0.0000 5.2126" Properties=species:S:1:pos:R:3 pbc="T T T"
Ga 0.0000 2.6063 0.0000
Ga 2.6063 0.0000 0.0000
Ga 0.0000 0.0000 2.6063
Be 2.6063 2.6063 2.6063
Sc 0.0000 0.0000 0.0000
```

**Total magnetization**: 0.0 μB per cell
**Symmetry**: Pm-3m (221)
**Calculated formation energy**: 24.52 kcal/mol of atoms

[12]
DFT (PBE-GGA) results for NdAl3Ge after structural relaxation.

Cell and atoms, written as extended XYZ:
```
10
Lattice="-3.4325 -1.4113 1.7599 0.7072 -3.9684 -1.8030 4.4460 -4.8128 9.6051" Properties=species:S:1:pos:R:3 pbc="T T T"
Al 2.1625 -4.7562 5.1968
Al -2.9396 -2.5657 1.7955
Al 0.8613 -2.4802 4.4840
Al -0.4418 -5.4362 4.3653
Al 0.8594 -7.7122 5.0781
Al 4.6604 -7.6267 7.7666
Ge 3.3581 -6.9907 5.7368
Ge -1.6374 -3.2017 3.8253
Nd -0.1673 -4.2203 1.0825
Nd 1.8881 -5.9722 8.4796
```

**Total magnetization**: 0.0 μB per cell
**Symmetry**: C2/m (12)
**Calculated formation energy**: -7.36 kcal/mol of atoms

[13]
DFT (PBE-GGA) results for Li5CuAu after structural relaxation.

Cell and atoms, written as extended XYZ:
```
7
Lattice="4.0609 0.6787 -0.0001 -0.6797 4.0608 -0.0001 0.0001 0.0001 6.8605" Properties=species:S:1:pos:R:3 pbc="T T T"
Li 1.3508 4.4001 1.5409
Li 2.0305 0.3394 5.3194
Li -0.3397 2.0304 5.3195
Li 3.7211 2.7091 1.5409
Li 0.0000 0.0000 3.4302
Au 1.6907 2.3698 3.4302
Cu 0.0000 0.0000 0.0000
```

**Total magnetization**: 0.0 μB per cell
**Symmetry**: P4/mmm (123)
**Calculated formation energy**: -3.70 kcal/mol of atoms

[14]
DFT (PBE-GGA) results for SnGeRh2I after structural relaxation.

Cell and atoms, written as extended XYZ:
```
5
Lattice="4.6605 0.0000 0.0000 0.0000 5.7153 0.0000 0.0000 0.0000 4.6605" Properties=species:S:1:pos:R:3 pbc="T T T"
I 0.0000 2.8577 0.0000
Rh 2.3302 0.0000 0.0000
Rh 0.0000 0.0000 2.3302
Sn 2.3302 2.8577 2.3302
Ge 0.0000 0.0000 0.0000
```

**Energy relative to the elements, uncorrected**: 585 meV per atom
**Total magnetization**: 0.0 μB per cell
**Symmetry**: P4/mmm (123)

[15]
DFT (PBE-GGA) results for AgBr3 after structural relaxation.

Cell and atoms, written as extended XYZ:
```
4
Lattice="2.8135 0.0000 0.0000 0.0000 3.9092 0.0000 0.0000 0.0000 10.8204" Properties=species:S:1:pos:R:3 pbc="T T T"
Br 1.4067 1.9546 8.9416
Br 0.0000 0.0000 5.4102
Br 1.4067 1.9546 1.8788
Ag 0.0000 0.0000 0.0000
```

**Energy relative to the elements, uncorrected**: 30 meV per atom
**Total magnetization**: 0.0 μB per cell
**Symmetry**: Pmmm (47)

[16]
DFT (PBE-GGA) results for Pm3Ho2Th2 after structural relaxation.

Cell and atoms, written as extended XYZ:
```
7
Lattice="5.0696 0.0000 0.0000 -2.5348 5.6051 0.8929 0.0000 -0.1705 8.0634" Properties=species:S:1:pos:R:3 pbc="T T T"
Pm 2.5348 2.2439 7.2132
Pm 0.0000 0.0000 0.0000
Pm 0.0000 3.1907 1.7431
Th 0.0000 1.5035 4.8211
Th 2.5348 3.9311 4.1352
Ho 0.0000 4.6887 6.4412
Ho 2.5348 0.7459 2.5151
```

**Total magnetization**: 0.0 μB per cell
**Symmetry**: C2/m (12)
**Calculated formation energy**: 0.81 kcal/mol of atoms

[17]
DFT (PBE-GGA) results for Ca5ErGa6 after structural relaxation.

Cell and atoms, written as extended XYZ:
```
12
Lattice="5.0645 -0.3340 0.8509 -0.0200 6.7903 2.7843 1.2204 0.3441 8.8419" Properties=species:S:1:pos:R:3 pbc="T T T"
Ca 4.2072 1.1855 6.8119
Ca 2.0976 2.2875 4.1079
Ca -0.0100 3.3951 1.3922
Ca 4.1674 4.5129 8.3692
Ca 2.0577 5.6149 5.6652
Ga 3.7481 1.7563 9.9143
Ga 4.6279 3.9037 5.2476
Ga 1.6266 6.4507 8.6866
Ga 4.6384 0.3497 3.7905
Ga 1.6370 2.8967 7.2295
Ga 2.5168 5.0441 2.5628
Er 0.0000 0.0000 0.0000
```

**Total magnetization**: 0.0 μB per cell
**Symmetry**: C2/m (12)
**Calculated formation energy**: -10.71 kcal/mol of atoms

[18]
DFT (PBE-GGA) results for AcLaAsRh after structural relaxation.

Cell and atoms, written as extended XYZ:
```
4
Lattice="-2.9057 -0.5240 -4.3850 -2.0137 -4.7148 -1.2887 -5.2066 -0.8393 0.3639" Properties=species:S:1:pos:R:3 pbc="T T T"
As -5.0630 -3.0391 -2.6549
Rh 0.0000 0.0000 0.0000
La -7.5944 -4.5586 -3.9823
Ac -2.5315 -1.5195 -1.3274
```

**Total magnetization**: 0.0 μB per cell
**Symmetry**: F-43m (216)
**Calculated formation energy**: -18.87 kcal/mol of atoms